6
Lattice="-0.7890 2.0141 2.8692 -3.6445 -1.5600 0.0929 2.6243 -9.3606 7.2926" Properties=species:S:1:pos:R:3 comment="SrIN | Alexandria | PBE-GGA | relaxed" crystal_system=monoclinic mass_density_g_cm3=4.41 magmom_total_mub_per_cell=0.21 e_form_raw_ev_per_atom=-0.401 pbc="T T T"
I -1.1876 -3.1737 3.0263
I -0.6216 -5.7328 7.2283
Sr -0.4387 0.1393 3.1566
Sr -1.3705 -9.0458 7.0981
N -1.7339 -0.2667 0.8354
N -0.0753 -8.6398 9.4193